No. 1
VASP calculation (GGA-PBE) on a geometry-optimized TbZnInS3 structure.

a b c (Å): 11.2624 4.0977 11.8319
angles (deg): 90.00 90.00 90.00
Closest atoms and distances in Å follow each position.
Element x y z (fractional)
Tb  0.0209  0.2500  0.1714  6 S 2.79-2.90
Tb  0.4791  0.7500  0.6714  6 S 2.79-2.90
Tb  0.5209  0.2500  0.3286  6 S 2.79-2.90
Tb  0.9791  0.7500  0.8286  6 S 2.79-2.90
Zn  0.2483  0.7500  0.3047  4 S 2.33-2.42
Zn  0.2517  0.2500  0.8047  4 S 2.33-2.42
Zn  0.7483  0.7500  0.1953  4 S 2.33-2.42
Zn  0.7517  0.2500  0.6953  4 S 2.33-2.42
In  0.1626  0.2500  0.5138  5 S 2.96-3.28
In  0.3374  0.7500  0.0138  5 S 2.96-3.28
In  0.6626  0.2500  0.9862  5 S 2.96-3.28
In  0.8374  0.7500  0.4862  5 S 2.96-3.28
S  0.0430  0.7500  0.3299  1 Zn 2.33
S  0.1013  0.2500  0.9403  1 Zn 2.33
S  0.2237  0.7500  0.6999  2 Zn 2.42
S  0.2763  0.2500  0.1999  2 Zn 2.42
S  0.3987  0.7500  0.4403  1 Zn 2.33
S  0.4570  0.2500  0.8299  1 Zn 2.33
S  0.5430  0.7500  0.1701  1 Zn 2.33
S  0.6013  0.2500  0.5597  1 Zn 2.33
S  0.7237  0.7500  0.8001  2 Zn 2.42
S  0.7763  0.2500  0.3001  2 Zn 2.42
S  0.8987  0.7500  0.0597  1 Zn 2.33
S  0.9570  0.2500  0.6701  1 Zn 2.33

SG: No. 62
Total magnetization: 0.0 μB/f.u.
E above lowest polymorph: 0.0331 eV per atom

No. 2
VASP calculation (GGA-PBE) on a geometry-optimized HfB2Sb structure.

a b c (Å): 4.5546 4.5546 4.5546
angles (deg): 60.00 60.00 60.00
Closest atoms and distances in Å follow each position.
Element x y z (fractional)
Hf  0.0000  0.0000  0.0000  4 Sb 2.79, 4 B 2.79
B  0.2500  0.2500  0.2500  4 Hf 2.79, 4 B 2.79
B  0.5000  0.5000  0.5000  4 Sb 2.79, 4 B 2.79
Sb  0.7500  0.7500  0.7500  4 Hf 2.79, 4 B 2.79

SG: No. 216
Total magnetization: 0.0 μB/f.u.

No. 3
VASP calculation (GGA-PBE) on a geometry-optimized Na2Zn2BiSb structure.

a b c (Å): 4.5074 4.5074 7.5463
angles (deg): 90.00 90.00 90.00
Closest atoms and distances in Å follow each position.
Element x y z (fractional)
Na  0.0000  0.0000  0.0000  1 Sb 3.23, 4 Bi 3.31, 4 Zn 3.48
Na  0.5000  0.5000  0.3178  1 Bi 3.28, 4 Sb 3.29, 4 Zn 3.37
Zn  0.0000  0.5000  0.6493  2 Sb 2.80, 2 Bi 2.86
Zn  0.5000  0.0000  0.6493  2 Sb 2.80, 2 Bi 2.86
Bi  0.5000  0.5000  0.8836  4 Zn 2.86
Sb  0.0000  0.0000  0.4286  4 Zn 2.80

SG: No. 99

No. 4
VASP calculation (GGA-PBE) on a geometry-optimized Li2PrNiAs2 structure.

a b c (Å): 4.1803 4.1803 6.7457
angles (deg): 90.00 90.00 120.00
Closest atoms and distances in Å follow each position.
Element x y z (fractional)
Li  0.3333  0.6667  0.1421  4 As 2.48, 3 Ni 2.60
Li  0.6667  0.3333  0.8579  4 As 2.48, 3 Ni 2.60
Pr  0.0000  0.0000  0.5000  6 As 3.04, 2 Ni 3.37
Ni  0.0000  0.0000  0.0000  6 Li 2.60, 6 As 2.85
As  0.3333  0.6667  0.7745  4 Li 2.48
As  0.6667  0.3333  0.2255  4 Li 2.48

SG: No. 164
Total magnetization: 0.8 μB/f.u.

Ordered uncorrected energy results: -4.6251 -5.3353 -2.4768 -4.6114; unit eV/atom.